1.
# NaNiRuF6, relaxed, DFT PBE+U
# **Total magnetization**: 6.0 Bohr magnetons per cell
# **V**: 281.96 Å³ per cell
# **Final energy**: -42.1 eV/f.u.
# **Space group**: Imma
data_NaNiRuF6
_symmetry_space_group_name_H-M 'P 1'
_symmetry_Int_Tables_number 1
_symmetry_space_group_name_Hall 'P 1'
_cell_length_a 7.387
_cell_length_b 7.387
_cell_length_c 7.387
_cell_angle_alpha 121.18
_cell_angle_beta 120.20
_cell_angle_gamma 88.81
loop_
_atom_site_label
_atom_site_type_symbol
_atom_site_fract_x
_atom_site_fract_y
_atom_site_fract_z
Na1 Na 0.280 0.030 0.250
Na2 Na 0.720 0.970 0.750
Ni1 Ni 0.000 0.000 0.500
Ni2 Ni 0.000 0.500 0.000
Ru1 Ru 0.000 0.500 0.500
Ru2 Ru 0.500 0.500 0.000
F1 F 0.066 0.405 0.235
F2 F 0.066 0.830 0.660
F3 F 0.069 0.819 0.250
F4 F 0.327 0.577 0.750
F5 F 0.330 0.170 0.735
F6 F 0.330 0.595 0.160
F7 F 0.670 0.405 0.840
F8 F 0.670 0.830 0.265
F9 F 0.673 0.423 0.250
F10 F 0.931 0.181 0.750
F11 F 0.934 0.170 0.340
F12 F 0.934 0.595 0.765



2.
# Na2Ni3SbF12, relaxed, DFT PBE+U
# **Total magnetization**: 5.3 Bohr magnetons per cell
# **V**: 258.99 Å³ per cell
# **Final energy**: -75.8 eV/f.u.
# **Space group**: R-3m
data_Na2Ni3SbF12
_symmetry_space_group_name_H-M 'P 1'
_symmetry_Int_Tables_number 1
_symmetry_space_group_name_Hall 'P 1'
_cell_length_a 7.032
_cell_length_b 7.032
_cell_length_c 7.032
_cell_angle_alpha 62.40
_cell_angle_beta 62.40
_cell_angle_gamma 62.40
loop_
_atom_site_label
_atom_site_type_symbol
_atom_site_fract_x
_atom_site_fract_y
_atom_site_fract_z
Na1 Na 0.145 0.145 0.145
Na2 Na 0.855 0.855 0.855
Ni1 Ni 0.000 0.500 0.500
Ni2 Ni 0.500 0.000 0.500
Ni3 Ni 0.500 0.500 0.000
Sb1 Sb 0.500 0.500 0.500
F1 F 0.116 0.624 0.624
F2 F 0.218 0.218 0.604
F3 F 0.218 0.604 0.218
F4 F 0.376 0.376 0.884
F5 F 0.376 0.884 0.376
F6 F 0.396 0.782 0.782
F7 F 0.604 0.218 0.218
F8 F 0.624 0.116 0.624
F9 F 0.624 0.624 0.116
F10 F 0.782 0.396 0.782
F11 F 0.782 0.782 0.396
F12 F 0.884 0.376 0.376



3.
# Na2ScNi3F12, relaxed, DFT PBE+U
# **Total magnetization**: 5.0 Bohr magnetons per cell
# **V**: 273.42 Å³ per cell
# **Final energy**: -84.6 eV/f.u.
# **Space group**: R-3m
data_Na2ScNi3F12
_symmetry_space_group_name_H-M 'P 1'
_symmetry_Int_Tables_number 1
_symmetry_space_group_name_Hall 'P 1'
_cell_length_a 7.457
_cell_length_b 7.457
_cell_length_c 7.457
_cell_angle_alpha 57.07
_cell_angle_beta 57.07
_cell_angle_gamma 57.07
loop_
_atom_site_label
_atom_site_type_symbol
_atom_site_fract_x
_atom_site_fract_y
_atom_site_fract_z
Na1 Na 0.087 0.087 0.087
Na2 Na 0.913 0.913 0.913
Sc1 Sc 0.500 0.500 0.500
Ni1 Ni 0.000 0.500 0.500
Ni2 Ni 0.500 0.000 0.500
Ni3 Ni 0.500 0.500 0.000
F1 F 0.169 0.573 0.573
F2 F 0.173 0.173 0.589
F3 F 0.173 0.589 0.173
F4 F 0.411 0.827 0.827
F5 F 0.427 0.427 0.831
F6 F 0.427 0.831 0.427
F7 F 0.573 0.169 0.573
F8 F 0.573 0.573 0.169
F9 F 0.589 0.173 0.173
F10 F 0.827 0.411 0.827
F11 F 0.827 0.827 0.411
F12 F 0.831 0.427 0.427



4.
# Na2SmNi3F12, relaxed, DFT PBE+U
# **Total magnetization**: 5.0 Bohr magnetons per cell
# **V**: 246.06 Å³ per cell
# **Final energy**: -83.8 eV/f.u.
# **Space group**: R-3m
data_Na2SmNi3F12
_symmetry_space_group_name_H-M 'P 1'
_symmetry_Int_Tables_number 1
_symmetry_space_group_name_Hall 'P 1'
_cell_length_a 6.734
_cell_length_b 6.734
_cell_length_c 6.734
_cell_angle_alpha 66.47
_cell_angle_beta 66.47
_cell_angle_gamma 66.47
loop_
_atom_site_label
_atom_site_type_symbol
_atom_site_fract_x
_atom_site_fract_y
_atom_site_fract_z
Na1 Na 0.134 0.134 0.134
Na2 Na 0.866 0.866 0.866
Sm1 Sm 0.500 0.500 0.500
Ni1 Ni 0.000 0.500 0.500
Ni2 Ni 0.500 0.000 0.500
Ni3 Ni 0.500 0.500 0.000
F1 F 0.086 0.642 0.642
F2 F 0.241 0.241 0.611
F3 F 0.241 0.611 0.241
F4 F 0.358 0.358 0.914
F5 F 0.358 0.914 0.358
F6 F 0.389 0.759 0.759
F7 F 0.611 0.241 0.241
F8 F 0.642 0.086 0.642
F9 F 0.642 0.642 0.086
F10 F 0.759 0.389 0.759
F11 F 0.759 0.759 0.389
F12 F 0.914 0.358 0.358



5.
# NaSmNiF6, relaxed, DFT PBE+U
# **Total magnetization**: 3.8 Bohr magnetons per cell
# **V**: 265.72 Å³ per cell
# **Final energy**: -47.8 eV/f.u.
# **Space group**: P-31c
data_NaSmNiF6
_symmetry_space_group_name_H-M 'P 1'
_symmetry_Int_Tables_number 1
_symmetry_space_group_name_Hall 'P 1'
_cell_length_a 5.719
_cell_length_b 5.719
_cell_length_c 9.382
_cell_angle_alpha 90.00
_cell_angle_beta 90.00
_cell_angle_gamma 120.00
loop_
_atom_site_label
_atom_site_type_symbol
_atom_site_fract_x
_atom_site_fract_y
_atom_site_fract_z
Na1 Na 0.000 0.000 0.000
Na2 Na 0.000 0.000 0.500
Sm1 Sm 0.333 0.667 0.250
Sm2 Sm 0.667 0.333 0.750
Ni1 Ni 0.333 0.667 0.750
Ni2 Ni 0.667 0.333 0.250
F1 F 0.030 0.368 0.633
F2 F 0.030 0.662 0.867
F3 F 0.338 0.368 0.867
F4 F 0.338 0.970 0.633
F5 F 0.368 0.030 0.133
F6 F 0.368 0.338 0.367
F7 F 0.632 0.662 0.633
F8 F 0.632 0.970 0.867
F9 F 0.662 0.030 0.367
F10 F 0.662 0.632 0.133
F11 F 0.970 0.338 0.133
F12 F 0.970 0.632 0.367



6.
# NaNiSnF6, relaxed, DFT PBE+U
# **Total magnetization**: 4.8 Bohr magnetons per cell
# **V**: 260.98 Å³ per cell
# **Final energy**: -40.1 eV/f.u.
# **Space group**: P-31c
data_NaNiSnF6
_symmetry_space_group_name_H-M 'P 1'
_symmetry_Int_Tables_number 1
_symmetry_space_group_name_Hall 'P 1'
_cell_length_a 5.581
_cell_length_b 5.581
_cell_length_c 9.673
_cell_angle_alpha 90.00
_cell_angle_beta 90.00
_cell_angle_gamma 120.00
loop_
_atom_site_label
_atom_site_type_symbol
_atom_site_fract_x
_atom_site_fract_y
_atom_site_fract_z
Na1 Na 0.000 0.000 0.000
Na2 Na 0.000 0.000 0.500
Ni1 Ni 0.333 0.667 0.250
Ni2 Ni 0.667 0.333 0.750
Sn1 Sn 0.333 0.667 0.750
Sn2 Sn 0.667 0.333 0.250
F1 F 0.019 0.366 0.136
F2 F 0.019 0.653 0.364
F3 F 0.347 0.366 0.364
F4 F 0.347 0.981 0.136
F5 F 0.366 0.019 0.636
F6 F 0.366 0.347 0.864
F7 F 0.634 0.653 0.136
F8 F 0.634 0.981 0.364
F9 F 0.653 0.019 0.864
F10 F 0.653 0.634 0.636
F11 F 0.981 0.347 0.636
F12 F 0.981 0.634 0.864



7.
# Na2SrNiF8, relaxed, DFT PBE+U
# **Total magnetization**: 0.0 Bohr magnetons per cell
# **V**: 167.85 Å³ per cell
# **Final energy**: -51.4 eV/f.u.
# **Space group**: P2/m
data_Na2SrNiF8
_symmetry_space_group_name_H-M 'P 1'
_symmetry_Int_Tables_number 1
_symmetry_space_group_name_Hall 'P 1'
_cell_length_a 4.347
_cell_length_b 7.164
_cell_length_c 5.417
_cell_angle_alpha 90.00
_cell_angle_beta 95.78
_cell_angle_gamma 90.00
loop_
_atom_site_label
_atom_site_type_symbol
_atom_site_fract_x
_atom_site_fract_y
_atom_site_fract_z
Na1 Na 0.000 0.241 0.000
Na2 Na 0.000 0.759 0.000
Sr1 Sr 0.500 0.500 0.500
Ni1 Ni 0.500 0.000 0.500
F1 F 0.002 0.500 0.248
F2 F 0.155 0.000 0.289
F3 F 0.372 0.186 0.695
F4 F 0.372 0.814 0.695
F5 F 0.628 0.186 0.305
F6 F 0.628 0.814 0.305
F7 F 0.845 0.000 0.711
F8 F 0.998 0.500 0.752



8.
# NaTa2NiF, relaxed, DFT PBE+U
# **Total magnetization**: 1.1 Bohr magnetons per cell
# **V**: 90.16 Å³ per cell
# **Final energy**: -21.5 eV/f.u.
# **Space group**: P4/mmm
data_NaTa2NiF
_symmetry_space_group_name_H-M 'P 1'
_symmetry_Int_Tables_number 1
_symmetry_space_group_name_Hall 'P 1'
_cell_length_a 5.026
_cell_length_b 5.026
_cell_length_c 3.569
_cell_angle_alpha 90.00
_cell_angle_beta 90.00
_cell_angle_gamma 90.00
loop_
_atom_site_label
_atom_site_type_symbol
_atom_site_fract_x
_atom_site_fract_y
_atom_site_fract_z
Na1 Na 0.000 0.000 0.000
Ta1 Ta 0.000 0.500 0.000
Ta2 Ta 0.500 0.000 0.000
Ni1 Ni 0.500 0.500 0.500
F1 F 0.000 0.000 0.500